# GeS

A geometry-optimized GeS structure (PBE-GGA, Alexandria via LeMat-Bulk).

The space group is Cmcm (No. 63) and the conventional cell measures 3.8842, 11.1838 and 3.8883 Å, with angles of 90.00, 90.00 and 90.00 degrees. The inequivalent atoms are Ge at (0.0000, 0.1398, 0.2500) and S at (0.0000, 0.3530, 0.2500).

The value obtained for the uncorrected formation energy is -0.21 eV/atom. The volume is 21.1 A^3/atom.

***

# GeS

A geometry-optimized GeS structure (PBE-GGA, Alexandria via LeMat-Bulk).

The space group is F-43m (No. 216) and the conventional cell measures 6.0925, 6.0925 and 6.0925 Å, with angles of 90.00, 90.00 and 90.00 degrees. The inequivalent atoms are Ge at (0.0000, 0.0000, 0.0000) and S at (0.2500, 0.2500, 0.2500).

The value obtained for the uncorrected formation energy is 0.05 eV/atom. The volume is 28.3 A^3/atom.

***

# Ge2S3

A geometry-optimized Ge2S3 structure (PBE-GGA, Alexandria via LeMat-Bulk).

The space group is C2/m (No. 12) and the conventional cell measures 19.4600, 3.4928 and 8.0116 Å, with angles of 90.00, 113.55 and 90.00 degrees. The inequivalent atoms are Ge at (0.0180, 0.0000, 0.1663), Ge at (0.1741, 0.5000, 0.9860), S at (0.0808, 0.0000, 0.7615), S at (0.0975, 0.5000, 0.2863) and S at (0.2467, 0.5000, 0.8079).

The value obtained for the uncorrected formation energy is -0.20 eV/atom. The volume is 25.0 A^3/atom.

***

# GeS2

A geometry-optimized GeS2 structure (PBE-GGA, Alexandria via LeMat-Bulk).

The space group is I4_1/acd (No. 142, origin choice 2) and the conventional cell measures 11.7368, 11.7368 and 18.9342 Å, with angles of 90.00, 90.00 and 90.00 degrees. The inequivalent atoms are Ge at (0.0799, 0.1240, 0.3108), S at (0.0000, 0.2500, 0.0141), S at (0.0465, 0.0280, 0.8760) and S at (0.1870, 0.0000, 0.2500).

The value obtained for the uncorrected formation energy is -0.32 eV/atom. The volume is 27.2 A^3/atom.